{"formula": "CaMg3Nb", "functional": "PBE", "state": "relaxed", "polymorph_energy_mev_per_atom": 0, "formation_enthalpy_0k_ev_per_atom": 0.727, "cell": [[-3.6758, 3.9288, 0.1401], [-0.4305, -0.2115, -5.3606], [-3.9077, -3.6724, 0.4587]], "species": ["Ca", "Mg", "Mg", "Mg", "Nb"], "frac_coords": [[0.5000, 0.5000, 0.5000], [0.5000, 0.0000, 0.0000], [0.0000, 0.0000, 0.5000], [0.0000, 0.5000, 0.0000], [0.0000, 0.0000, 0.0000]]}

---

{"formula": "CaMg2Nb", "functional": "PBE", "state": "relaxed", "formation_enthalpy_0k_ev_per_atom": 0.714, "cell": [[-7.3432, -3.6078, -0.2522], [3.4806, -6.8948, -2.7111], [-1.5616, -6.2068, 1.4228]], "species": ["Ca", "Ca", "Mg", "Mg", "Mg", "Mg", "Nb", "Nb"], "frac_coords": [[0.5000, 0.5000, 0.0000], [0.2500, 0.7500, 0.5000], [0.8750, 0.8999, 0.7500], [0.6499, 0.1250, 0.2500], [0.3750, 0.3501, 0.7500], [0.1001, 0.6250, 0.2500], [0.0000, 0.0000, 0.0000], [0.7500, 0.2500, 0.5000]]}

---

{"formula": "CaMgNb2", "functional": "PBE", "state": "relaxed", "polymorph_energy_mev_per_atom": 0, "formation_enthalpy_0k_ev_per_atom": 0.781, "cell": [[4.0479, 0.0000, 0.0000], [0.0000, 4.0479, 0.0000], [2.0239, 2.0239, 10.9410]], "species": ["Nb", "Nb", "Nb", "Nb", "Mg", "Mg", "Ca", "Ca"], "frac_coords": [[0.3750, 0.3864, 0.7500], [0.1364, 0.6250, 0.2500], [0.8750, 0.8636, 0.7500], [0.6136, 0.1250, 0.2500], [0.2500, 0.7500, 0.5000], [0.5000, 0.5000, 0.0000], [0.7500, 0.2500, 0.5000], [0.0000, 0.0000, 0.0000]]}

---

These records have volume values of 31.18, 25.80, 22.41 Å³/atom, in the order they appear.
These records have D(E_F) values of 4.27, 3.80, 4.34 states/eV/f.u., in the order they appear.